(1)
CePr2H8 | PBE-GGA | relaxed

Values from the calculation:
Total moment: 0.87 μB/f.u.
Fermi-level density of states: 7.80 states/eV/f.u.
VASP energy: -48.4 eV per cell

Unit cell a=6.6695 b=6.6695 c=6.6695 alpha=146.52 beta=130.93 gamma=60.71
Fractional positions:
Ce1 0.0000 0.0000 0.0000
Pr1 0.3310 0.3310 0.0000
Pr2 0.6690 0.6690 0.0000
H1 0.0996 0.8405 0.2591
H2 0.1558 0.6558 0.5000
H3 0.2654 0.5000 0.7654
H4 0.4186 0.1595 0.2591
H5 0.5814 0.8405 0.7409
H6 0.7346 0.5000 0.2346
H7 0.8442 0.3442 0.5000
H8 0.9004 0.1595 0.7409

(2)
Ce2PrH | PBE-GGA | relaxed

Values from the calculation:
Total moment: 0.65 μB/f.u.
Fermi-level density of states: 9.39 states/eV/f.u.
ΔE to the lowest computed polymorph: 0 meV/atom

Unit cell a=9.8339 b=9.8339 c=9.8339 alpha=19.61 beta=19.61 gamma=19.61
Fractional positions:
Ce1 0.1138 0.1138 0.1138
Ce2 0.8862 0.8862 0.8862
Pr1 0.0000 0.0000 0.0000
H1 0.5000 0.5000 0.5000

(3)
Ce2PrH | PBE-GGA | relaxed

Values from the calculation:
Total moment: 0.00 μB/f.u.
Fermi-level density of states: 7.88 states/eV/f.u.
ΔE to the lowest computed polymorph: 38 meV/atom

Unit cell a=3.2683 b=3.2683 c=8.6078 alpha=90.00 beta=90.00 gamma=90.00
Fractional positions:
Ce1 0.0000 0.0000 0.1592
Ce2 0.0000 0.0000 0.8408
Pr1 0.5000 0.5000 0.5000
H1 0.5000 0.5000 0.0000

(4)
CePr2H | PBE-GGA | relaxed

Values from the calculation:
Total moment: 1.03 μB/f.u.
Fermi-level density of states: 7.40 states/eV/f.u.
ΔE to the lowest computed polymorph: 0 meV/atom

Unit cell a=9.8367 b=9.8367 c=9.8367 alpha=20.61 beta=20.61 gamma=20.61
Fractional positions:
Ce1 0.0000 0.0000 0.0000
Pr1 0.1149 0.1149 0.1149
Pr2 0.8851 0.8851 0.8851
H1 0.5000 0.5000 0.5000

(5)
CePrH8Rh2 | PBE-GGA | relaxed

Values from the calculation:
Total moment: 0.99 μB/f.u.
Fermi-level density of states: 8.32 states/eV/f.u.
VASP energy: -55.9 eV per cell

Unit cell a=6.7142 b=6.7142 c=6.7142 alpha=45.37 beta=45.37 gamma=45.37
Fractional positions:
Ce1 0.0000 0.0000 0.0000
Pr1 0.5000 0.5000 0.5000
H1 0.0152 0.4493 0.8721
H2 0.1279 0.9848 0.5507
H3 0.3639 0.3639 0.3639
H4 0.4493 0.8721 0.0152
H5 0.5507 0.1279 0.9848
H6 0.6361 0.6361 0.6361
H7 0.8721 0.0152 0.4493
H8 0.9848 0.5507 0.1279
Rh1 0.1635 0.1635 0.1635
Rh2 0.8365 0.8365 0.8365

(6)
Ce4Pr2Sb3H2 | PBE-GGA | relaxed

Values from the calculation:
Total moment: 4.35 μB/f.u.
Fermi-level density of states: 22.34 states/eV/f.u.
VASP energy: -60.3 eV per cell

Unit cell a=13.6112 b=13.6112 c=13.6112 alpha=160.43 beta=160.43 gamma=27.82
Fractional positions:
Ce1 0.0838 0.5838 0.5000
Ce2 0.4162 0.9162 0.5000
Ce3 0.5838 0.0838 0.5000
Ce4 0.9162 0.4162 0.5000
Pr1 0.2010 0.2010 0.0000
Pr2 0.7990 0.7990 0.0000
Sb1 0.3258 0.3258 0.0000
Sb2 0.5000 0.5000 0.0000
Sb3 0.6742 0.6742 0.0000
H1 0.1084 0.1084 0.0000
H2 0.8916 0.8916 0.0000